Here is a relaxed BaPr2Mn3O9 crystal from Alexandria. Energies are from GGA+U.

Cell lengths 5.603, 5.603, 13.706 Å; angles 89.35, 89.35, 59.81 degrees
Element x y z (fractional)
O (0.035, 0.035, 0.777)
O (0.663, 0.663, 0.908)
O (0.298, 0.825, 0.586)
O (0.464, 0.986, 0.267)
O (0.855, 0.355, 0.070)
Pr (0.843, 0.843, 0.580)
Pr (0.823, 0.823, 0.075)
Mn (0.840, 0.840, 0.830)
Mn (0.160, 0.160, 0.170)
O (0.986, 0.464, 0.267)
Ba (0.510, 0.510, 0.750)
O (0.145, 0.645, 0.930)
Mn (0.828, 0.828, 0.333)
O (0.337, 0.337, 0.092)
Pr (0.157, 0.157, 0.420)
O (0.536, 0.014, 0.733)
O (0.702, 0.175, 0.414)
Mn (0.172, 0.172, 0.667)
O (0.688, 0.688, 0.441)
Mn (0.500, 0.500, 0.000)
Mn (0.500, 0.500, 0.500)
O (0.312, 0.312, 0.559)
O (0.645, 0.145, 0.930)
O (0.014, 0.536, 0.733)
O (0.355, 0.855, 0.070)
Pr (0.177, 0.177, 0.925)
Ba (0.490, 0.490, 0.250)
O (0.965, 0.965, 0.223)
O (0.825, 0.298, 0.586)
O (0.175, 0.702, 0.414)

## Properties
The raw total energy is -113.7 eV/f.u.